Record 1
# OsWSe2

Crystalline OsWSe2 at its relaxed geometry (GGA-PBE, Alexandria).

Values from the calculation:
Calculated total energy, eV per atom: -6.77
Density of states at the Fermi level, states/eV/atom: 0.954
Theoretical density, Mg/m³: 13.1
Formation energy (no corrections), eV per atom: 1.02
Calculated volume, Å³ per atom: 16.83

The structure in CIF format:
```
data_OsWSe2
_cell_length_a 3.000
_cell_length_b 5.235
_cell_length_c 8.570
_cell_angle_alpha 90.00
_cell_angle_beta 90.00
_cell_angle_gamma 90.00
_symmetry_space_group_name_H-M 'C m m m'
_symmetry_Int_Tables_number 65
_symmetry_space_group_name_Hall '-C 2 2'
loop_
_atom_site_label
_atom_site_fract_x
_atom_site_fract_y
_atom_site_fract_z
Os1 0.000 0.000 0.000
W1 0.000 0.000 0.500
Se1 0.000 0.500 0.248
```

***

Record 2
# OsWSe2

Crystalline OsWSe2 at its relaxed geometry (GGA-PBE, Alexandria).

Values from the calculation:
Calculated total energy, eV per atom: -7.68
Density of states at the Fermi level, states/eV/atom: 0.611
Theoretical density, Mg/m³: 11.9
Formation energy (no corrections), eV per atom: 0.10
Calculated volume, Å³ per atom: 18.51

The structure in CIF format:
```
data_OsWSe2
_cell_length_a 2.977
_cell_length_b 2.977
_cell_length_c 8.351
_cell_angle_alpha 90.00
_cell_angle_beta 90.00
_cell_angle_gamma 90.00
_symmetry_space_group_name_H-M 'P 4 m m'
_symmetry_Int_Tables_number 99
loop_
_symmetry_equiv_pos_as_xyz
'x,y,z'
'-y,x,z'
'-x,-y,z'
'y,-x,z'
'-x,y,z'
'y,x,z'
'x,-y,z'
'-y,-x,z'
loop_
_atom_site_label
_atom_site_fract_x
_atom_site_fract_y
_atom_site_fract_z
Os1 0.000 0.000 0.000
W1 0.500 0.500 0.768
Se1 0.000 0.000 0.583
Se2 0.500 0.500 0.184
```

***

Record 3
# OsW2Se

Crystalline OsW2Se at its relaxed geometry (GGA-PBE, Alexandria).

Values from the calculation:
Calculated total energy, eV per atom: -9.43
Density of states at the Fermi level, states/eV/atom: 0.882
Theoretical density, Mg/m³: 16.6
Formation energy (no corrections), eV per atom: 0.73
Calculated volume, Å³ per atom: 15.94

The structure in CIF format:
```
data_OsW2Se
_cell_length_a 6.342
_cell_length_b 6.342
_cell_length_c 6.342
_cell_angle_alpha 90.00
_cell_angle_beta 90.00
_cell_angle_gamma 90.00
_symmetry_space_group_name_H-M 'F -4 3 m'
_symmetry_Int_Tables_number 216
_symmetry_space_group_name_Hall 'F -4 2 3'
loop_
_atom_site_label
_atom_site_fract_x
_atom_site_fract_y
_atom_site_fract_z
Os1 0.000 0.000 0.000
W1 0.000 0.000 0.500
W2 0.250 0.250 0.250
Se1 0.250 0.250 0.750
```

***

Record 4
# OsW2Se

Crystalline OsW2Se at its relaxed geometry (GGA-PBE, Alexandria).

Values from the calculation:
Calculated total energy, eV per atom: -9.80
Density of states at the Fermi level, states/eV/atom: 0.904
Theoretical density, Mg/m³: 16.9
Formation energy (no corrections), eV per atom: 0.35
Calculated volume, Å³ per atom: 15.66

The structure in CIF format:
```
data_OsW2Se
_cell_length_a 2.8904
_cell_length_b 2.8904
_cell_length_c 25.9782
_cell_angle_alpha 90.00
_cell_angle_beta 90.00
_cell_angle_gamma 120.00
_symmetry_space_group_name_H-M 'R -3 m'
_symmetry_Int_Tables_number 166
_symmetry_space_group_name_Hall '-R 3 2"'
loop_
_atom_site_label
_atom_site_fract_x
_atom_site_fract_y
_atom_site_fract_z
Os1 0.0000 0.0000 0.0000
W1 0.0000 0.0000 0.2488
Se1 0.0000 0.0000 0.5000
```